No. 1
Below is a geometry-optimized Y2ErOs structure, with properties calculated at the PBE level.

The calculation puts the distance to the lowest polymorph of the same formula at 0 meV per atom. The calculated density comes out at 8.36 g/cm³. The crystal system is orthorhombic. The value obtained for the formation energy is -98.1 kJ/mol of formula units.

The space group is Pnma (No. 62) and the conventional cell measures 7.379, 9.084 and 6.346 Å, with angles of 90.00, 90.00 and 90.00 degrees. The asymmetric unit holds Y at (0.175, 0.063, 0.170), Er at (0.041, 0.250, 0.631) and Os at (0.117, 0.750, 0.967).


No. 2
Below is a geometry-optimized Y4ErOs2 structure, with properties calculated at the PBE level.

The calculated density comes out at 8.30 g/cm³. The crystal system is monoclinic. The value obtained for the formation energy is -96.1 kJ/mol of formula units.

The space group is P2_1/m (No. 11) and the conventional cell measures 7.842, 6.284 and 7.922 Å, with angles of 90.00, 112.26 and 90.00 degrees. The asymmetric unit holds Y at (0.121, 0.250, 0.479), Y at (0.175, 0.750, 0.252), Y at (0.262, 0.501, 0.918), Er at (0.470, 0.250, 0.340), Os at (0.087, 0.250, 0.123) and Os at (0.475, 0.250, 0.751).


Number 1: DFT total energy -7.434 eV per atom. Number 2: DFT total energy -7.696 eV per atom.